1.
The following is a PBE-GGA calculation of Sm4GaRu3 after structural relaxation, from the Alexandria database.

Output
**Total energy**: -52.0 eV per formula unit
**SG**: Pmm2, No. 25

Geometry as extended XYZ:
```
8
Lattice="-2.727 2.965 1.406 1.121 -0.918 4.108 7.565 7.175 -0.460" Properties=species:S:1:pos:R:3 pbc="T T T"
Ru 5.697 8.179 0.274
Ru 3.429 3.253 -0.209
Sm 6.993 5.642 1.663
Sm 1.944 3.629 2.590
Sm 1.008 0.956 -0.061
Ga -0.331 1.471 2.729
Sm 3.558 6.151 0.404
Ru 4.749 3.514 1.799
```



2.
The following is a PBE-GGA calculation of PmPr6Tm8 after structural relaxation, from the Alexandria database.

Output
**Total energy**: -67.3 eV per formula unit
**SG**: R-3, No. 148

Geometry as extended XYZ:
```
15
Lattice="7.851 0.167 3.863 2.475 7.452 3.863 0.227 0.167 8.747" Properties=species:S:1:pos:R:3 pbc="T T T"
Tm 6.083 4.489 9.497
Pm 0.000 0.000 0.000
Tm 4.193 6.701 6.905
Pr 8.395 6.918 10.516
Tm 7.474 5.756 6.647
Pr 2.157 0.869 5.957
Pr 5.754 5.982 12.650
Pr 8.392 3.734 12.023
Tm 7.735 2.343 6.696
Tm 6.359 1.086 9.568
Pr 4.798 1.805 3.823
Tm 2.817 5.444 9.777
Pr 2.160 4.053 4.451
Tm 3.078 2.031 9.827
Tm 4.469 3.298 6.977
```